# PBE TbDyYEr, relaxed
data_TbDyYEr
_chemical_formula_sum 'Tb1 Dy1 Y1 Er1'
_cell_length_a 5.6609
_cell_length_b 5.6609
_cell_length_c 5.6609
_cell_angle_alpha 60.00
_cell_angle_beta 60.00
_cell_angle_gamma 60.00
_space_group_name_H-M_alt 'P 1'
_space_group_IT_number 1
loop_
_space_group_symop_operation_xyz
'x,y,z'
loop_
_atom_site_label
_atom_site_fract_x
_atom_site_fract_y
_atom_site_fract_z
Tb1 0.5000 0.5000 0.5000
Dy1 0.0000 0.0000 0.0000
Er1 0.7500 0.7500 0.7500
Y1 0.2500 0.2500 0.2500
# size of the total moment: 0.004 μB per atom
# ΔH_f (0 K): 139 meV per atom
# energy above the most stable polymorph in this dataset: 0.117 eV/atom
# space-group type: F-43m, No. 216